[1]
The following is a PBE calculation of a geometry-optimized SnP2WS structure, from Alexandria via LeMat-Bulk.

Unit cell a=4.894 b=4.894 c=4.892 alpha=90.00 beta=90.00 gamma=90.00
Space group P4/mmm (No. 123)
One atom of each set of equivalent atoms:
Sn: 0.000 0.000 0.000 (multiplicity 1)
P: 0.000 0.500 0.000 (multiplicity 2)
W: 0.500 0.500 0.500 (multiplicity 1)
S: 0.000 0.000 0.500 (multiplicity 1)

Summary:
- Crystal system: tetragonal
- Calculated volume: 23.4 Å³/atom
- Polymorph energy (0 for the lowest one): 1410 meV/atom
- Uncorrected formation energy: 1.723 eV/atom

=====

[2]
The following is a PBE calculation of a geometry-optimized AsIr2Os structure, from Alexandria via LeMat-Bulk.

Unit cell a=5.602 b=5.602 c=10.975 alpha=90.00 beta=90.00 gamma=90.00
Space group I-42d (No. 122)
One atom of each set of equivalent atoms:
As: 0.000 0.000 0.000 (multiplicity 4)
Ir: 0.247 0.250 0.625 (multiplicity 8)
Os: 0.000 0.000 0.500 (multiplicity 4)

Summary:
- E_form: 0.6555 eV/atom
- Crystal system: tetragonal
- Calculated volume: 21.5 Å³/atom